(w)
This record from the Alexandria database describes a geometry-optimized Y2TeI structure. The functional is GGA-PBE.

It has space group I-42d (No. 122), with a = 6.903 Å, b = 6.903 Å, c = 13.720 Å, α = 90.00°, β = 90.00° and γ = 90.00°. Symmetry generates all atoms from Y at (0.239, 0.250, 0.125), Te at (0.000, 0.000, 0.000) and I at (0.000, 0.000, 0.500).

Its density of states at the Fermi level is 3.44 states/eV/f.u.

***

(x)
This record from the Alexandria database describes a geometry-optimized Y2TeI structure. The functional is GGA-PBE.

It has space group R3m (No. 160, hexagonal axes), with a = 4.0181 Å, b = 4.0181 Å, c = 25.3461 Å, α = 90.00°, β = 90.00° and γ = 120.00°. Symmetry generates all atoms from Y at (0.0000, 0.0000, 0.0000), Y at (0.0000, 0.0000, 0.1755), Te at (0.0000, 0.0000, 0.5879) and I at (0.0000, 0.0000, 0.7550).

Its density of states at the Fermi level is 3.95 states/eV/f.u.

***

(y)
This record from the Alexandria database describes a geometry-optimized Y2TeI structure. The functional is GGA-PBE.

It has space group R-3m (No. 166, hexagonal axes), with a = 4.1470 Å, b = 4.1470 Å, c = 24.9768 Å, α = 90.00°, β = 90.00° and γ = 120.00°. Symmetry generates all atoms from Y at (0.0000, 0.0000, 0.2371), Te at (0.0000, 0.0000, 0.5000) and I at (0.0000, 0.0000, 0.0000).

Its density of states at the Fermi level is 2.20 states/eV/f.u.

***

Least stable structure among those shown: (w).